# PBE with a Hubbard U NiSb2OsO, optimized geometry
data_NiSb2OsO
_cell_length_a 4.761
_cell_length_b 4.761
_cell_length_c 4.609
_cell_angle_alpha 90.00
_cell_angle_beta 90.00
_cell_angle_gamma 90.00
_space_group_name_H-M_alt 'P 1'
_space_group_IT_number 1
_space_group_name_Hall 'P 1'
loop_
_atom_site_label
_atom_site_fract_x
_atom_site_fract_y
_atom_site_fract_z
_atom_site_occupancy
Ni1 0.000 0.000 0.000 1
Sb1 0.000 0.500 0.000 1
Sb2 0.500 0.000 0.000 1
Os1 0.000 0.000 0.500 1
O1 0.500 0.500 0.500 1
# density = 8.08 Mg/m³
# DFT total energy = -3.835 eV/atom
# SG = P4/mmm, No. 123
# total moment = 3.78 μB/f.u.